A plane-wave DFT calculation with PBE with a Hubbard U was carried out for BeCrN2F after structural relaxation.

Unit cell a=3.8198 b=3.7903 c=3.8198 alpha=90.00 beta=90.00 gamma=90.00
With the nearest neighbours (Å) after each atom.
Atoms (fractional coordinates):
1 Be 0.5000 0.5000 0.5000  8 N 2.69, 4 F 2.70
2 N 0.5000 0.0000 0.0000  2 Cr 1.91
3 F 0.0000 0.5000 0.0000  2 Cr 1.90
4 Cr 0.0000 0.0000 0.0000  2 F 1.90, 4 N 1.91
5 N 0.0000 0.0000 0.5000  2 Cr 1.91

Summary:
Its total DFT energy (no corrections) is -27.50 eV/cell. Its symmetry is No. 123.